A plane-wave DFT calculation with PBE was carried out for a geometry-optimized Sn2Sb2I structure.

Cell lengths 4.891, 4.891, 7.850 Å; angles 71.85, 71.85, 90.00 degrees
Fractional positions:
I 0.000 0.000 0.000
Sn 0.750 0.250 0.500
Sn 0.250 0.750 0.500
Sb 0.624 0.624 0.753
Sb 0.376 0.376 0.247

Output
* space-group type: I4/mmm, No. 139
* energy above the most stable polymorph in this dataset: 0.163 eV per formula unit
* uncorrected formation energy: -0.02 eV/atom
* crystal system: tetragonal



A plane-wave DFT calculation with PBE was carried out for a geometry-optimized ScTcAgRu2 structure.

Cell lengths 4.597, 4.639, 4.597 Å; angles 90.00, 90.00, 90.00 degrees
Site moments in Bohr magnetons follow the coordinates.
Fractional positions:
Ag 0.500 0.500 0.500  0.04
Ru 0.500 0.000 0.000  0.67
Ru 0.000 0.000 0.500  0.63
Sc 0.000 0.000 0.000  -0.10
Tc 0.000 0.500 0.000  1.32

Output
* space-group type: P4/mmm, No. 123
* energy of formation from the pure elements: 1634 meV per atom
* crystal system: tetragonal



A plane-wave DFT calculation with PBE was carried out for a geometry-optimized CsBaP structure.

Cell lengths 5.789, 5.789, 7.370 Å; angles 90.00, 90.00, 120.00 degrees
Fractional positions:
P 0.333 0.667 0.750
P 0.667 0.333 0.250
Cs 0.000 0.000 0.500
Cs 0.000 0.000 0.000
Ba 0.333 0.667 0.250
Ba 0.667 0.333 0.750

Output
* space-group type: P6_3/mmc, No. 194
* energy of formation from the pure elements: -566 meV per atom
* crystal system: hexagonal



Question: Which formula does entry 1 have?
Answer: Sn2Sb2I